Record 1
Sm4SiGeCl2: optimized geometry, PBE-GGA.

Values from the calculation:
The value obtained for the energy relative to the elements, uncorrected is -27.76 kcal/mol of atoms. The total energy comes out at -5.280 eV per atom.

Cell and atoms, written as POSCAR:
```
Sm4SiGeCl2
1.0
-1.083 3.972 0.958
-6.967 -1.889 -0.042
-2.016 -2.159 6.674
Sm Si Ge Cl
4 1 1 2
direct
0.500 0.725 0.261
0.000 0.274 0.245
0.500 0.275 0.739
0.000 0.726 0.755
0.000 0.500 0.500
0.500 0.500 0.000
0.000 0.000 0.000
0.500 0.000 0.500
```


Record 2
YNbCl3: optimized geometry, PBE-GGA.

Values from the calculation:
Its energy above the most stable polymorph in this dataset is 0.60 eV per formula unit. The value obtained for the energy relative to the elements, uncorrected is -8.19 kcal/mol of atoms. The total energy comes out at -4.770 eV per atom.

Cell and atoms, written as POSCAR:
```
YNbCl3
1.0
-0.448 4.025 -2.842
-4.753 -1.105 -0.816
-1.299 2.657 3.966
Nb Y Cl
1 1 3
direct
0.000 0.000 0.000
0.500 0.500 0.500
0.500 0.000 0.000
0.000 0.000 0.500
0.000 0.500 0.000
```


Record 3
MgMnSe2: optimized geometry, PBE-GGA.

Values from the calculation:
The value obtained for the energy relative to the elements, uncorrected is -10.76 kcal/mol of atoms. The total energy comes out at -4.900 eV per atom.

Cell and atoms, written as POSCAR:
```
MgMnSe2
1.0
-4.227 0.520 0.167
2.180 -3.335 -1.513
-0.116 -3.062 6.584
Se Mn Mg
2 1 1
direct
0.000 0.000 0.996
0.000 0.000 0.504
0.500 0.500 0.750
0.500 0.500 0.250
```


Which formula does entry 3 have?
MgMnSe2


energy relative to the elements, uncorrected of number 1 (Sm4SiGeCl2)?
-27.76 kcal/mol of atoms


Which of these has the highest energy relative to the elements, uncorrected?
YNbCl3